No. 1
A plane-wave DFT calculation with PBE was carried out for a relaxed structure of PrNdIBr2N.

Structure (POSCAR):
```
PrNdIBr2N
1.0
-0.316 9.502 1.011
-4.223 8.574 0.247
-0.027 -7.473 9.224
I Nd Pr Br N
2 2 2 4 2
direct
0.955 0.955 0.773
0.045 0.045 0.227
0.865 0.865 0.213
0.135 0.135 0.787
0.422 0.422 0.540
0.578 0.578 0.460
0.784 0.784 0.377
0.329 0.329 0.988
0.671 0.671 0.012
0.216 0.216 0.623
0.427 0.427 0.345
0.573 0.573 0.655
```


No. 2
A plane-wave DFT calculation with PBE was carried out for a relaxed structure of InFeNi.

Structure (POSCAR):
```
InFeNi
1.0
4.375 0.000 0.000
-2.187 3.789 0.000
0.000 0.000 5.269
Fe In Ni
2 2 2
direct
0.000 0.000 0.500
0.000 0.000 0.000
0.333 0.667 0.250
0.667 0.333 0.750
0.667 0.333 0.250
0.333 0.667 0.750
```


No. 3
A plane-wave DFT calculation with PBE was carried out for a relaxed structure of NaSrNbNi.

Structure (POSCAR):
```
NaSrNbNi
1.0
0.000 3.676 3.676
3.676 0.000 3.676
3.676 3.676 0.000
Na Sr Nb Ni
1 1 1 1
direct
0.750 0.750 0.750
0.250 0.250 0.250
0.000 0.000 0.000
0.500 0.500 0.500
```


The calculation returns the following size of the total moment values, one per record and in order: 0.00; 2.89; 4.06 μB per formula unit.
The calculation returns the following excess energy over the best structure of this formula in the dataset values, one per record and in order: 10.3; 0.0; 262.1 meV/atom.
The calculation returns the following uncorrected energy values, one per record and in order: -5.4670; -5.4358; -3.5599 eV per atom.